ReTc2As, optimized geometry, DFT GGA-PBE; energy of formation from the pure elements = 1.16 eV/f.u.; total magnetization = 0.000 μB/atom
1.0
4.786 0.018 0.000
-2.097 4.302 0.000
0.000 0.000 2.898
Tc Re As
2 1 1
Direct
0.500 0.500 0.000
0.000 0.000 0.000
0.000 0.500 0.500
0.500 0.000 0.500

ZnRe2TcAs, optimized geometry, DFT GGA-PBE; energy of formation from the pure elements = 10.71 eV/f.u.; total magnetization = 0.557 μB/atom
1.0
4.582 0.000 0.000
0.000 4.411 0.000
0.000 0.000 4.582
Zn Tc As Re
1 1 1 2
Direct
0.000 0.000 0.000
0.500 0.500 0.500
0.000 0.500 0.000
0.000 0.000 0.500
0.500 0.000 0.000

ReTe2As, optimized geometry, DFT GGA-PBE; total magnetization = 0.000 μB/atom; uncorrected formation energy = 5.628 kcal/mol of atoms
1.0
-7.953 5.480 -1.432
-9.059 2.555 -2.596
-9.197 3.209 0.673
Te As Re
2 1 1
Direct
0.239 0.239 0.239
0.023 0.023 0.023
0.482 0.482 0.482
0.757 0.757 0.757

ReTe2As, optimized geometry, DFT GGA-PBE; total magnetization = 0.000 μB/atom; uncorrected formation energy = 11.309 kcal/mol of atoms
1.0
-1.262 1.408 2.425
1.063 -2.798 0.704
9.514 4.242 2.490
As Te Re
1 2 1
Direct
0.000 0.000 0.565
0.000 0.000 0.943
0.500 0.500 0.260
0.500 0.500 0.732

ReTe2As, optimized geometry, DFT GGA-PBE; total magnetization = 0.000 μB/atom; uncorrected formation energy = 21.309 kcal/mol of atoms
1.0
-0.536 4.528 -2.257
-5.068 0.402 -0.201
2.802 -1.023 4.122
Te Re As
2 1 1
Direct
0.000 0.000 0.000
0.250 0.750 0.500
0.750 0.250 0.500
0.500 0.500 0.000

ReTe4As, optimized geometry, DFT GGA-PBE; total magnetization = 0.628 μB/atom; uncorrected formation energy = 33.934 kcal/mol of atoms
1.0
-1.276 -3.967 4.591
0.601 1.794 5.904
-5.039 0.840 3.513
Re Te As
1 4 1
Direct
0.000 0.000 0.000
0.375 0.375 0.876
0.375 0.876 0.375
0.375 0.375 0.375
0.876 0.375 0.375
0.750 0.750 0.750